[1]
The following is a DFT calculation (PBE) of an optimized crystal structure of Sc2Bi2Te.

Computed properties:
The total DFT energy (no corrections) is -52.98 eV for the cell shown. The polymorph energy (0 for the lowest one) comes out at 0.000 eV/atom. Its uncorrected formation energy is -0.585 eV/atom.

a b c (Å): 7.9492 7.9492 4.2278
angles (deg): 90.00 90.00 90.00
Last column: nearest neighbours and their distance in Å.
Element x y z (fractional)
Sc1 0.3396 0.8396 0.0000  2 Te 2.99, 6 Bi 3.06-3.21
Sc2 0.8396 0.6604 0.0000  2 Te 2.99, 6 Bi 3.06-3.21
Sc3 0.6604 0.1604 0.0000  2 Te 2.99, 6 Bi 3.06-3.21
Sc4 0.1604 0.3396 0.0000  2 Te 2.99, 6 Bi 3.06-3.21
Te1 0.0000 0.0000 0.0000  4 Sc 2.99
Te2 0.5000 0.5000 0.0000  4 Sc 2.99
Bi1 0.1422 0.6422 0.5000  6 Sc 3.06-3.21, 1 Bi 3.20
Bi2 0.6422 0.8578 0.5000  6 Sc 3.06-3.21, 1 Bi 3.20
Bi3 0.8578 0.3578 0.5000  6 Sc 3.06-3.21, 1 Bi 3.20
Bi4 0.3578 0.1422 0.5000  6 Sc 3.06-3.21, 1 Bi 3.20

[2]
The following is a DFT calculation (PBE) of an optimized crystal structure of RbCd3Ir.

Computed properties:
The total DFT energy (no corrections) is -12.64 eV for the cell shown. Its formation energy is -0.1 eV per formula unit. The polymorph energy (0 for the lowest one) comes out at 0.000 eV/atom.

a b c (Å): 5.3213 5.3213 5.3213
angles (deg): 90.00 90.00 90.00
Last column: nearest neighbours and their distance in Å.
Element x y z (fractional)
Ir1 0.0000 0.0000 0.0000  6 Cd 2.66
Rb1 0.5000 0.5000 0.5000  12 Cd 3.76
Cd1 0.0000 0.5000 0.0000  2 Ir 2.66
Cd2 0.0000 0.0000 0.5000  2 Ir 2.66
Cd3 0.5000 0.0000 0.0000  2 Ir 2.66

[3]
The following is a DFT calculation (PBE) of an optimized crystal structure of ZnRh5.

Computed properties:
The total DFT energy (no corrections) is -36.10 eV for the cell shown. Its formation energy is 1.9 eV per formula unit.

a b c (Å): 5.0881 5.0881 5.0881
angles (deg): 60.00 60.00 60.00
Last column: nearest neighbours and their distance in Å.
Element x y z (fractional)
Zn1 0.0000 0.0000 0.0000  16 Rh 2.98-3.12
Rh1 0.8752 0.3749 0.3749  6 Rh 2.54-2.55
Rh2 0.7500 0.7500 0.7500  12 Rh 2.98, 4 Zn 3.12
Rh3 0.3749 0.8752 0.3749  6 Rh 2.54-2.55
Rh4 0.3749 0.3749 0.3749  6 Rh 2.54-2.55
Rh5 0.3749 0.3749 0.8752  6 Rh 2.54-2.55

[4]
The following is a DFT calculation (PBE) of an optimized crystal structure of KTl2TeSe.

Computed properties:
The total DFT energy (no corrections) is -14.79 eV for the cell shown. Its uncorrected formation energy is -0.466 eV/atom.

a b c (Å): 5.5830 5.5817 6.9268
angles (deg): 90.00 90.00 90.00
Last column: nearest neighbours and their distance in Å.
Element x y z (fractional)
K1 0.0000 0.0000 0.5084  1 Se 3.23
Tl1 0.0000 0.5000 0.9000  2 Se 2.96, 2 Te 3.29
Tl2 0.5000 0.0000 0.9002  2 Se 2.96, 2 Te 3.29
Te1 0.5000 0.5000 0.6495  4 Tl 3.29
Se1 0.0000 0.0000 0.0419  4 Tl 2.96, 1 K 3.23

> Which of these has the lowest total DFT energy (no corrections)?

Sc2Bi2Te

> Look up the total DFT energy (no corrections) of the third one.

-36.10 eV for the cell shown

> Among the records above, which one has the highest total DFT energy (no corrections)?

RbCd3Ir

> What is the formula in the first record?

Sc2Bi2Te